# 1
! RuPtAu2, relaxed, DFT PBE; values from VASP
&SYSTEM
  ibrav = 0, nat = 4, ntyp = 3
/
ATOMIC_SPECIES
Au 196.97 Au.upf
Pt 195.08 Pt.upf
Ru 101.07 Ru.upf
CELL_PARAMETERS angstrom
-4.2801 2.4020 0.8217
-4.6458 0.9112 -1.5331
-2.3444 -3.5109 2.5867
ATOMIC_POSITIONS crystal
Au 0.9970 0.9970 0.0031
Au 0.5030 0.5030 0.4969
Pt 0.7500 0.7500 0.7500
Ru 0.2500 0.2500 0.2500
! energy relative to the lowest polymorph listed for this composition = 107 meV/atom
! ΔH_f (0 K) = 0.25 eV per atom
! calculated total energy = -20.9 eV for the cell shown


# 2
! RuPtAu3, relaxed, DFT PBE; values from VASP
&SYSTEM
  ibrav = 0, nat = 5, ntyp = 3
/
ATOMIC_SPECIES
Ru 101.07 Ru.upf
Au 196.97 Au.upf
Pt 195.08 Pt.upf
CELL_PARAMETERS angstrom
-0.3471 4.9078 -0.5210
-2.1977 -0.6213 -4.3889
-4.4191 -0.0765 2.2236
ATOMIC_POSITIONS crystal
Ru 0.0000 0.0000 0.0000
Au 0.0000 0.5000 0.0000
Au 0.0000 0.0000 0.5000
Au 0.5000 0.0000 0.0000
Pt 0.5000 0.5000 0.5000
! energy relative to the lowest polymorph listed for this composition = 92 meV/atom
! ΔH_f (0 K) = 1.54 eV per atom
! calculated total energy = -17.5 eV for the cell shown


# 3
! RuPt2Au, relaxed, DFT PBE; values from VASP
&SYSTEM
  ibrav = 0, nat = 4, ntyp = 3
/
ATOMIC_SPECIES
Au 196.97 Au.upf
Pt 195.08 Pt.upf
Ru 101.07 Ru.upf
CELL_PARAMETERS angstrom
3.9643 0.0000 0.0000
0.0000 3.9538 0.0000
0.0000 0.0000 4.0193
ATOMIC_POSITIONS crystal
Au 0.0000 0.5000 0.5000
Pt 0.0000 0.0000 0.0000
Pt 0.5000 0.5000 0.0000
Ru 0.5000 0.0000 0.5000
! energy relative to the lowest polymorph listed for this composition = 188 meV/atom
! ΔH_f (0 K) = 0.23 eV per atom
! calculated total energy = -23.7 eV for the cell shown


- What is the energy relative to the lowest polymorph listed for this composition in the first record?
  107 meV/atom